Entry 1:
# CaCu

A relaxed CaCu crystal (PBE-GGA, Alexandria via LeMat-Bulk).

Geometry as POSCAR:
```
CaCu
1.0
1.953 5.508 0.014
-1.953 5.508 0.014
0.000 1.360 6.968
Ca Cu
3 3
Cartesian
0.000 4.804 6.173
0.000 4.854 2.238
0.000 7.779 4.342
0.000 1.772 2.007
0.000 1.744 6.810
0.000 7.225 0.557
```

## Properties
Calculated volume in Å³/atom: 24.97
Electronic total energy in eV per atom: -3.063

Entry 2:
# Ca4Cu3

A relaxed Ca4Cu3 crystal (PBE-GGA, Alexandria via LeMat-Bulk).

Geometry as POSCAR:
```
Ca4Cu3
1.0
-2.608 -4.357 2.954
4.876 -3.243 -0.478
1.985 2.239 5.056
Cu Ca
3 4
Cartesian
2.438 -1.621 -0.239
-1.304 -2.179 1.477
0.992 1.120 2.528
1.134 -3.800 1.238
3.430 -0.502 2.289
-0.312 -1.059 4.005
0.000 0.000 0.000
```

## Properties
Calculated volume in Å³/atom: 28.97
Electronic total energy in eV per atom: -2.843

Entry 3:
# CaCu3

A relaxed CaCu3 crystal (PBE-GGA, Alexandria via LeMat-Bulk).

Geometry as POSCAR:
```
CaCu3
1.0
5.100 0.000 0.000
0.000 5.100 0.000
0.000 0.000 5.100
Cu Ca
6 2
Cartesian
2.550 0.000 1.275
1.275 2.550 0.000
2.550 0.000 3.825
0.000 1.275 2.550
3.825 2.550 0.000
0.000 3.825 2.550
0.000 0.000 0.000
2.550 2.550 2.550
```

## Properties
Calculated volume in Å³/atom: 16.58
Electronic total energy in eV per atom: -3.457

Entry 4:
# Ca3Cu

A relaxed Ca3Cu crystal (PBE-GGA, Alexandria via LeMat-Bulk).

Geometry as POSCAR:
```
Ca3Cu
1.0
6.552 -0.009 -0.027
-2.939 5.855 -0.027
-2.939 -4.756 3.415
Ca Cu
3 1
Cartesian
0.000 0.000 0.000
1.806 -2.383 1.694
1.806 2.923 -0.027
-2.939 0.550 1.694
```

## Properties
Calculated volume in Å³/atom: 32.31
Electronic total energy in eV per atom: -2.277

Entry 5:
# CaCu3

A relaxed CaCu3 crystal (PBE-GGA, Alexandria via LeMat-Bulk).

Geometry as POSCAR:
```
CaCu3
1.0
-2.783 -1.390 -4.559
1.077 -5.326 0.967
-4.643 -0.402 2.956
Cu Ca
3 1
Cartesian
0.538 -2.663 0.483
-1.391 -0.695 -2.280
-2.322 -0.201 1.478
0.000 0.000 0.000
```

## Properties
Calculated volume in Å³/atom: 42.03
Electronic total energy in eV per atom: -2.061

Entry 6:
# CaCu3

A relaxed CaCu3 crystal (PBE-GGA, Alexandria via LeMat-Bulk).

Geometry as POSCAR:
```
CaCu3
1.0
3.374 0.000 0.000
0.000 3.779 0.000
0.000 0.000 5.704
Cu Ca
3 1
Cartesian
1.687 1.889 4.260
1.687 0.000 2.677
0.000 1.889 2.498
0.000 0.000 0.071
```

## Properties
Calculated volume in Å³/atom: 18.18
Electronic total energy in eV per atom: -3.472

Entry 7:
# Ca3Cu2

A relaxed Ca3Cu2 crystal (PBE-GGA, Alexandria via LeMat-Bulk).

Geometry as POSCAR:
```
Ca3Cu2
1.0
7.171 0.000 0.000
3.586 6.210 0.000
3.586 2.070 6.466
Ca Cu
6 4
Cartesian
9.416 3.889 4.849
5.831 2.321 4.849
8.076 2.070 1.616
8.511 5.959 1.616
4.926 4.391 1.616
6.266 6.210 4.849
10.757 6.210 3.619
10.757 6.210 6.080
3.586 2.070 2.847
3.586 2.070 0.386
```

## Properties
Calculated volume in Å³/atom: 28.80
Electronic total energy in eV per atom: -2.889

Entry 8:
# Ca3Cu

A relaxed Ca3Cu crystal (PBE-GGA, Alexandria via LeMat-Bulk).

Geometry as POSCAR:
```
Ca3Cu
1.0
-0.797 -2.847 4.012
4.735 -1.547 -0.157
1.335 3.787 2.952
Cu Ca
1 3
Cartesian
0.000 0.000 0.000
1.969 -2.197 1.928
3.035 1.120 1.398
0.269 0.470 3.482
```

## Properties
Calculated volume in Å³/atom: 30.94
Electronic total energy in eV per atom: -2.376

Entry 9:
# CaCu

A relaxed CaCu crystal (PBE-GGA, Alexandria via LeMat-Bulk).

Geometry as POSCAR:
```
CaCu
1.0
-3.030 1.330 2.552
-1.867 -3.751 -0.262
8.401 -5.062 12.612
Ca Cu
6 6
Cartesian
-0.025 -0.233 3.514
1.752 -3.742 7.451
1.777 -3.509 3.938
5.396 -3.499 11.651
4.757 -5.305 8.413
0.000 0.000 0.000
3.724 -2.492 9.142
0.105 -2.502 1.428
-2.449 -1.211 1.145
6.429 -6.312 10.922
1.647 -1.240 6.023
4.201 -2.531 6.306
```

## Properties
Calculated volume in Å³/atom: 23.36
Electronic total energy in eV per atom: -3.098

Entry 10:
# Ca4Cu3

A relaxed Ca4Cu3 crystal (PBE-GGA, Alexandria via LeMat-Bulk).

Geometry as POSCAR:
```
Ca4Cu3
1.0
6.249 0.000 0.000
0.000 6.249 0.000
0.000 0.000 6.249
Ca Cu
4 3
Cartesian
4.844 1.405 1.405
1.405 4.844 1.405
4.844 4.844 4.844
1.405 1.405 4.844
3.125 3.125 0.000
0.000 3.125 3.125
3.125 0.000 3.125
```

## Properties
Calculated volume in Å³/atom: 34.86
Electronic total energy in eV per atom: -2.474

Entry 11:
# Ca4Cu

A relaxed Ca4Cu crystal (PBE-GGA, Alexandria via LeMat-Bulk).

Geometry as POSCAR:
```
Ca4Cu
1.0
6.812 0.000 0.000
0.000 6.812 0.000
0.000 0.000 7.379
Ca Cu
8 2
Cartesian
5.013 1.116 4.866
1.607 2.290 6.202
1.800 5.696 4.866
1.116 1.800 2.513
5.206 4.522 6.202
5.696 5.013 2.513
4.522 1.607 1.177
2.290 5.206 1.177
0.000 0.000 0.000
3.406 3.406 3.689
```

## Properties
Calculated volume in Å³/atom: 34.24
Electronic total energy in eV per atom: -2.427

Entry 12:
# CaCu

A relaxed CaCu crystal (PBE-GGA, Alexandria via LeMat-Bulk).

Geometry as POSCAR:
```
CaCu
1.0
-4.159 2.241 -3.319
-1.872 -3.251 -4.389
0.920 -0.718 5.655
Cu Ca
2 2
Cartesian
-3.016 -0.505 -3.854
-3.128 0.508 -0.759
-1.984 -2.237 -1.294
0.000 0.000 0.000
```

## Properties
Calculated volume in Å³/atom: 22.47
Electronic total energy in eV per atom: -2.951

| no. | energy relative to the elements (eV per atom) | total magnetic moment (μB/cell) |
| --- | --- | --- |
| 1 | -0.014 | 0.00 |
| 2 | 0.056 | 0.00 |
| 3 | 0.116 | 0.00 |
| 4 | 0.248 | 0.00 |
| 5 | 1.511 | 0.00 |
| 6 | 0.100 | 0.00 |
| 7 | -0.049 | 0.00 |
| 8 | 0.149 | 0.00 |
| 9 | -0.049 | 0.00 |
| 10 | 0.425 | 0.00 |
| 11 | -0.007 | 0.00 |
| 12 | 0.098 | 0.00 |